Entry 1:
# CaBe2Si2 (PBE-GGA, relaxed)
# **Uncorrected formation energy**: -0.24 eV per atom
# **DOS(E_F)**: 0.4 states/eV per cell
# **Magnetization**: 0.0 μB/cell
# **Final energy**: -42.96 eV/cell
# **Density**: 2.5 g/cm³
data_CaBe2Si2
_chemical_formula_sum 'Ca2 Be4 Si4'
_cell_length_a 3.9563
_cell_length_b 3.9563
_cell_length_c 9.6562
_cell_angle_alpha 90.00
_cell_angle_beta 90.00
_cell_angle_gamma 90.00
_symmetry_space_group_name_H-M 'I 4/m m m'
_symmetry_Int_Tables_number 139
_symmetry_space_group_name_Hall '-I 4 2'
loop_
_atom_site_label
_atom_site_fract_x
_atom_site_fract_y
_atom_site_fract_z
Ca1 0.0000 0.0000 0.0000
Be1 0.0000 0.5000 0.2500
Si1 0.0000 0.0000 0.3759

Entry 2:
# HoLu2Ir (PBE-GGA, relaxed)
# **Offset from the most stable computed form**: 0.328 eV per atom
# **DOS(E_F)**: 15.1 states/eV per cell
# **Magnetization**: 0.0 μB/cell
# **Final energy**: -69.23 eV/cell
# **Density**: 9.8 g/cm³
data_HoLu2Ir
_chemical_formula_sum 'Ho3 Lu6 Ir3'
_cell_length_a 3.6539
_cell_length_b 3.6539
_cell_length_c 31.0385
_cell_angle_alpha 90.00
_cell_angle_beta 90.00
_cell_angle_gamma 120.00
_symmetry_space_group_name_H-M 'R -3 m'
_symmetry_Int_Tables_number 166
_symmetry_space_group_name_Hall '-R 3 2"'
loop_
_atom_site_label
_atom_site_fract_x
_atom_site_fract_y
_atom_site_fract_z
Ho1 0.0000 0.0000 0.0000
Lu1 0.0000 0.0000 0.1127
Ir1 0.0000 0.0000 0.5000

Entry 3:
# Y3TaCd (PBE-GGA, relaxed)
# **Offset from the most stable computed form**: 0.518 eV per atom
# **DOS(E_F)**: 9.4 states/eV per cell
# **Magnetization**: 3.5 μB/cell
# **Final energy**: -26.59 eV/cell
# **Density**: 5.5 g/cm³
data_Y3TaCd
_chemical_formula_sum 'Y3 Ta1 Cd1'
_cell_length_a 5.5197
_cell_length_b 5.5197
_cell_length_c 5.5197
_cell_angle_alpha 90.00
_cell_angle_beta 90.00
_cell_angle_gamma 90.00
_symmetry_space_group_name_H-M 'P m -3 m'
_symmetry_Int_Tables_number 221
_symmetry_space_group_name_Hall '-P 4 2 3'
loop_
_atom_site_label
_atom_site_fract_x
_atom_site_fract_y
_atom_site_fract_z
Y1 0.0000 0.0000 0.5000
Ta1 0.5000 0.5000 0.5000
Cd1 0.0000 0.0000 0.0000

Entry 4:
# YPtCl (PBE-GGA, relaxed)
# **Offset from the most stable computed form**: 0.216 eV per atom
# **Uncorrected formation energy**: -1.21 eV per atom
# **Magnetization**: 0.0 μB/cell
# **Final energy**: -35.99 eV/cell
# **Density**: 7.1 g/cm³
data_YPtCl
_chemical_formula_sum 'Y2 Pt2 Cl2'
_cell_length_a 3.3866
_cell_length_b 3.3866
_cell_length_c 12.9417
_cell_angle_alpha 90.00
_cell_angle_beta 90.00
_cell_angle_gamma 90.00
_symmetry_space_group_name_H-M 'I 4 m m'
_symmetry_Int_Tables_number 107
_symmetry_space_group_name_Hall 'I 4 -2'
loop_
_atom_site_label
_atom_site_fract_x
_atom_site_fract_y
_atom_site_fract_z
Y1 0.0000 0.0000 0.0000
Pt1 0.0000 0.0000 0.6196
Cl1 0.0000 0.0000 0.3628